1.
{
  "formula": "MgBe2Tc",
  "functional": "PBE-GGA",
  "state": "optimized geometry",
  "energy_ev_per_cell": -17.74,
  "sg": "R3m, No. 160",
  "cell": [[8.4529, 0.0065, 0.0038], [8.0161, 2.6821, 0.0038], [8.0161, 1.3086, 2.3412]],
  "species": ["Tc", "Be", "Be", "Mg"],
  "fractional_positions": [[0.7405, 0.7405, 0.7405], [0.2600, 0.2600, 0.2600], [0.9966, 0.9966, 0.9966], [0.5029, 0.5029, 0.5029]]
}


2.
{
  "formula": "Mg2BeTc",
  "functional": "PBE-GGA",
  "state": "optimized geometry",
  "energy_ev_per_cell": -16.34,
  "sg": "Cmm2, No. 35",
  "cell": [[-0.8619, 2.6556, -0.0106], [-2.2574, -1.4869, 0.6990], [2.0577, 0.7002, 8.1351]],
  "species": ["Mg", "Mg", "Be", "Tc"],
  "fractional_positions": [[0.0000, 0.0000, 0.9603], [0.5000, 0.5000, 0.2802], [0.5000, 0.5000, 0.7227], [0.0000, 0.0000, 0.5368]]
}


3.
{
  "formula": "MgBe17Tc",
  "functional": "PBE-GGA",
  "state": "optimized geometry",
  "energy_ev_per_cell": -76.80,
  "sg": "R3m, No. 160",
  "cell": [[-3.1553, 1.1593, 4.4153], [-4.8945, 0.0415, -2.6147], [-1.4901, -5.2097, 1.1970]],
  "species": ["Be", "Be", "Be", "Be", "Be", "Be", "Be", "Be", "Be", "Be", "Be", "Be", "Be", "Be", "Be", "Be", "Be", "Tc", "Mg"],
  "fractional_positions": [[0.1670, 0.6501, 0.6501], [0.0052, 0.4989, 0.0052], [0.4989, 0.0052, 0.0052], [0.3416, 0.3416, 0.8496], [0.6994, 0.2961, 0.0039], [0.0039, 0.6994, 0.2961], [0.0039, 0.2961, 0.6994], [0.2961, 0.6994, 0.0039], [0.3416, 0.8496, 0.3416], [0.2961, 0.0039, 0.6994], [0.6994, 0.0039, 0.2961], [0.0052, 0.0052, 0.4989], [0.6501, 0.1670, 0.6501], [0.9038, 0.9038, 0.9038], [0.6501, 0.6501, 0.1670], [0.1019, 0.1019, 0.1019], [0.8496, 0.3416, 0.3416], [0.3296, 0.3296, 0.3296], [0.6565, 0.6565, 0.6565]]
}


4.
{
  "formula": "Mg2BeTc",
  "functional": "PBE-GGA",
  "state": "optimized geometry",
  "energy_ev_per_cell": -16.70,
  "sg": "Pmm2, No. 25",
  "cell": [[-2.3871, 1.5156, 1.3448], [1.1374, -0.6019, 2.6973], [3.6638, 5.9610, -0.2148]],
  "species": ["Mg", "Mg", "Be", "Tc"],
  "fractional_positions": [[0.5000, 0.5000, 0.2994], [0.0000, 0.0000, 0.9533], [0.5000, 0.5000, 0.6855], [0.0000, 0.0000, 0.5617]]
}


5.
{
  "formula": "Mg2BeTc",
  "functional": "PBE-GGA",
  "state": "optimized geometry",
  "energy_ev_per_cell": -16.05,
  "sg": "Cmmm, No. 65",
  "cell": [[4.9959, -0.0116, 0.0000], [-2.1579, 4.5058, 0.0000], [0.0000, 0.0000, 2.7253]],
  "species": ["Mg", "Mg", "Be", "Tc"],
  "fractional_positions": [[0.0000, 0.0000, 0.0000], [0.5000, 0.5000, 0.0000], [0.0000, 0.5000, 0.5000], [0.5000, 0.0000, 0.5000]]
}


6.
{
  "formula": "MgBeTc2",
  "functional": "PBE-GGA",
  "state": "optimized geometry",
  "energy_ev_per_cell": -26.13,
  "sg": "P4mm, No. 99",
  "cell": [[-0.7958, -2.8897, 0.2355], [1.4036, -0.5977, -2.5907], [5.3671, -1.2182, 3.1889]],
  "species": ["Be", "Mg", "Tc", "Tc"],
  "fractional_positions": [[0.0000, 0.0000, 0.4631], [0.5000, 0.5000, 0.7337], [0.0000, 0.0000, 0.0408], [0.5000, 0.5000, 0.2625]]
}


7.
{
  "formula": "MgBeTc2",
  "functional": "PBE-GGA",
  "state": "optimized geometry",
  "energy_ev_per_cell": -24.09,
  "sg": "Fm-3m, No. 225",
  "cell": [[0.0000, 3.0045, 3.0045], [3.0045, 0.0000, 3.0045], [3.0045, 3.0045, 0.0000]],
  "species": ["Mg", "Tc", "Tc", "Be"],
  "fractional_positions": [[0.5000, 0.5000, 0.5000], [0.2500, 0.2500, 0.2500], [0.7500, 0.7500, 0.7500], [0.0000, 0.0000, 0.0000]]
}


8.
{
  "formula": "Mg3BeTc",
  "functional": "PBE-GGA",
  "state": "optimized geometry",
  "energy_ev_per_cell": -12.71,
  "sg": "Pm-3m, No. 221",
  "cell": [[4.9623, 0.0000, 0.0000], [0.0000, 4.9623, 0.0000], [0.0000, 0.0000, 4.9623]],
  "species": ["Mg", "Mg", "Mg", "Tc", "Be"],
  "fractional_positions": [[0.0000, 0.5000, 0.0000], [0.0000, 0.0000, 0.5000], [0.5000, 0.0000, 0.0000], [0.0000, 0.0000, 0.0000], [0.5000, 0.5000, 0.5000]]
}


no.,ΔH_f (0 K) (eV per formula unit)
1,1.68
2,0.94
3,-1.50
4,0.58
5,1.23
6,-0.08
7,1.96
8,6.16